# CsVCuF6

A relaxed CsVCuF6 crystal (GGA+U, Alexandria).

Summary:
Mass density: 4.0 Mg/m³
Crystal system: orthorhombic
DFT total energy: -45.80 eV/f.u.

Lattice parameters (Å, degrees): 7.2471 7.6368 10.7122 90.00 90.00 90.00
Space group Imma (No. 74)
One atom of each set of equivalent atoms:
Cs 0.0000 0.2500 0.1181 (multiplicity 4)
V 0.0000 0.0000 0.5000 (multiplicity 4)
Cu 0.2500 0.2500 0.7500 (multiplicity 4)
F 0.0000 0.2500 0.4391 (multiplicity 4)
F 0.0000 0.2500 0.8147 (multiplicity 4)
F 0.1930 0.0461 0.6212 (multiplicity 16)